1.
PBE HoEr3Si4, optimized geometry; symmetry = Pm
1.0
5.647 0.000 0.000
0.000 3.810 0.000
-0.003 0.000 7.827
Er Ho Si
3 1 4
Direct
0.615 0.500 0.179
0.115 0.000 0.321
0.885 0.500 0.679
0.385 0.000 0.821
0.130 0.500 0.039
0.631 0.000 0.461
0.369 0.500 0.538
0.869 0.000 0.962

2.
PBE CsSnW, optimized geometry; symmetry = F-43m; energy above the lowest structure with this stoichiometry = 0.761 eV per atom
1.0
0.000 3.905 3.905
3.905 0.000 3.905
3.905 3.905 0.000
Cs Sn W
1 1 1
Direct
0.000 0.000 0.000
0.250 0.250 0.250
0.750 0.750 0.750

3.
PBE Pm3Ni2Ge3, optimized geometry; symmetry = Cmcm
1.0
2.139 -5.300 0.000
2.139 5.300 0.000
0.000 0.000 14.456
Ge Ni Pm
6 4 6
Direct
0.126 0.874 0.038
0.829 0.171 0.250
0.126 0.874 0.462
0.874 0.126 0.538
0.171 0.829 0.750
0.874 0.126 0.962
0.702 0.298 0.099
0.702 0.298 0.401
0.298 0.702 0.599
0.298 0.702 0.901
0.411 0.589 0.109
0.130 0.870 0.250
0.411 0.589 0.391
0.589 0.411 0.609
0.870 0.130 0.750
0.589 0.411 0.891

4.
PBE Tb2SiPt, optimized geometry; symmetry = Pmn2_1
1.0
-3.364 -0.019 2.508
-3.390 -4.861 -4.583
2.248 -4.379 2.982
Pt Si Tb
2 2 4
Direct
0.000 0.211 0.368
0.500 0.789 0.868
0.000 0.703 0.137
0.500 0.297 0.637
0.500 0.415 0.130
0.500 0.938 0.365
0.000 0.585 0.630
0.000 0.062 0.865

no.,VASP energy (Ha/atom)
1,-0.214
2,-0.126
3,-0.208
4,-0.228